1.
DFT (GGA-PBE) results for LaCeY after structural relaxation.

Values from the calculation:
The volume is 32.19 Å³/atom. The offset from the most stable computed form is 0.094 eV/f.u. The energy comes out at -5.70 eV per atom. Its density of states at the Fermi level is 2.076 states/eV per atom. For the magnetization, the calculation gives 0.00 Bohr magnetons per cell.

Lattice parameters (Å, degrees): 3.5826 3.5826 15.0455 90.00 90.00 90.00
Last column: nearest neighbours and their distance in Å.
Space group I4mm (No. 107)
Asymmetric unit:
La (0.0000, 0.0000, 0.0000) x2  4 Ce 3.46, 4 La 3.58, 4 Y 3.77
Ce (0.0000, 0.0000, 0.6569) x2  4 La 3.46, 4 Y 3.47, 4 Ce 3.58
Y (0.0000, 0.0000, 0.3141) x2  4 Ce 3.47, 4 Y 3.58, 4 La 3.77

2.
DFT (GGA-PBE) results for La6CeY8 after structural relaxation.

Values from the calculation:
The volume is 34.46 Å³/atom. The energy comes out at -5.70 eV per atom. Its density of states at the Fermi level is 1.887 states/eV per atom. For the magnetization, the calculation gives 4.14 Bohr magnetons per cell.

Lattice parameters (Å, degrees): 9.1462 9.1462 21.4061 90.00 90.00 120.00
Last column: nearest neighbours and their distance in Å.
Space group R-3 (No. 148, hexagonal axes)
Asymmetric unit:
La (0.0531, 0.2512, 0.2118) x18  4 Y 3.40-3.59, 1 Ce 3.49, 2 La 3.63
Ce (0.0000, 0.0000, 0.5000) x3  6 La 3.49, 6 Y 3.59
Y (0.0000, 0.0000, 0.0773) x6  4 Y 3.31-3.46, 3 La 3.56
Y (0.0812, 0.5783, 0.3049) x18  3 La 3.40-3.59, 5 Y 3.46-3.52, 1 Ce 3.59

3.
DFT (GGA-PBE) results for La8CeY6 after structural relaxation.

Values from the calculation:
The volume is 34.85 Å³/atom. The energy comes out at -5.50 eV per atom. Its density of states at the Fermi level is 1.843 states/eV per atom. For the magnetization, the calculation gives 2.85 Bohr magnetons per cell.

Lattice parameters (Å, degrees): 9.2390 9.2390 21.2129 90.00 90.00 120.00
Last column: nearest neighbours and their distance in Å.
Space group R-3 (No. 148, hexagonal axes)
Asymmetric unit:
La (0.0000, 0.0000, 0.0773) x6  4 La 3.28-3.46, 3 Y 3.42
La (0.0798, 0.5147, 0.3027) x18  5 La 3.46-3.56, 3 Y 3.49-3.83, 1 Ce 3.54
Ce (0.0000, 0.0000, 0.5000) x3  6 La 3.54, 6 Y 3.56
Y (0.0417, 0.7986, 0.2054) x18  4 La 3.42-3.83, 1 Ce 3.56, 3 Y 3.60-3.75

4.
DFT (GGA-PBE) results for La6CeY after structural relaxation.

Values from the calculation:
The volume is 34.99 Å³/atom. The offset from the most stable computed form is 0.000 eV/f.u. The energy comes out at -5.21 eV per atom. Its density of states at the Fermi level is 2.039 states/eV per atom. For the magnetization, the calculation gives 1.24 Bohr magnetons per cell.

Lattice parameters (Å, degrees): 5.1933 5.1933 10.3793 90.00 90.00 90.00
Last column: nearest neighbours and their distance in Å.
Space group P4/mmm (No. 123)
Asymmetric unit:
La (0.0000, 0.0000, 0.0000) x1  8 La 3.63, 4 Ce 3.67
La (0.0000, 0.0000, 0.5000) x1  4 Y 3.67, 8 La 3.71
La (0.0000, 0.5000, 0.2445) x4  8 La 3.63-3.71, 2 Ce 3.63, 2 Y 3.71
Ce (0.5000, 0.5000, 0.0000) x1  12 La 3.63-3.67
Y (0.5000, 0.5000, 0.5000) x1  12 La 3.67-3.71